No. 1
## Pm2Si3GePd4 (PBE)

Data for Pm2Si3GePd4 after structural relaxation.

Calculated values
Calculated density ... 8.0 g cm⁻³
Raw formation energy ... -0.877 eV per atom

a = 4.272 Å, b = 4.272 Å, c = 9.979 Å
α = 90.00°, β = 90.00°, γ = 90.00°
Atoms (fractional coordinates):
Pm  0.000  0.500  0.748
Pm  0.500  0.000  0.252
Si  0.000  0.500  0.127
Si  0.500  0.000  0.873
Si  0.000  0.000  0.500
Pd  0.500  0.000  0.630
Pd  0.500  0.500  0.000
Pd  0.000  0.000  0.000
Pd  0.000  0.500  0.370
Ge  0.500  0.500  0.500

No. 2
## PmSmGePd (PBE)

Data for PmSmGePd after structural relaxation.

Calculated values
Formation energy ... -839 meV per atom
Calculated density ... 8.0 g cm⁻³

a = 4.067 Å, b = 4.343 Å, c = 5.926 Å
α = 90.00°, β = 110.07°, γ = 90.00°
Atoms (fractional coordinates):
Sm  0.137  0.000  0.275
Pd  0.421  0.000  0.843
Ge  0.581  0.500  0.162
Pm  0.861  0.500  0.721

No. 3
## PmSmGe2Pd2 (PBE)

Data for PmSmGe2Pd2 after structural relaxation.

Calculated values
Formation energy ... -904 meV per atom
Calculated density ... 8.5 g cm⁻³

a = 4.451 Å, b = 4.451 Å, c = 7.414 Å
α = 90.00°, β = 90.00°, γ = 120.00°
Atoms (fractional coordinates):
Pd  0.667  0.333  0.245
Pd  0.333  0.667  0.755
Ge  0.667  0.333  0.752
Ge  0.333  0.667  0.248
Sm  0.000  0.000  0.000
Pm  0.000  0.000  0.500

no.,total DFT energy (no corrections) (eV/f.u.)
1,-59.926
2,-22.636
3,-34.511